No. 1
! GGA-PBE Li4MgAu7, optimized geometry; values from VASP
! Calculated volume in Å³ per atom: 17.94
! E_tot in eV per atom: -3.10
! Crystal system: triclinic
&SYSTEM
  ibrav = 0, nat = 12, ntyp = 3
/
ATOMIC_SPECIES
Li 6.94 Li.upf
Au 196.97 Au.upf
Mg 24.30 Mg.upf
CELL_PARAMETERS angstrom
5.022 1.119 1.669
4.022 5.644 1.636
0.844 -2.100 9.166
ATOMIC_POSITIONS angstrom
Li 7.195 4.039 8.950
Li 5.415 3.601 4.043
Li 2.694 0.623 3.521
Li 4.473 1.061 8.428
Au 4.819 1.114 5.546
Au 7.928 4.178 6.481
Au 6.781 1.592 10.467
Au 5.069 3.548 6.924
Au 3.108 3.070 2.004
Au 1.961 0.484 5.989
Au 2.511 0.559 0.835
Mg 0.000 0.000 0.000

***

No. 2
! GGA-PBE Sr2NbN3, optimized geometry; values from VASP
! Calculated volume in Å³ per atom: 18.14
! Raw formation energy in eV/atom: -1.055
! E_tot in eV per atom: -7.46
! Crystal system: monoclinic
&SYSTEM
  ibrav = 0, nat = 24, ntyp = 3
/
ATOMIC_SPECIES
Sr 87.62 Sr.upf
Nb 92.91 Nb.upf
N 14.01 N.upf
CELL_PARAMETERS angstrom
-0.728 -6.214 -1.450
1.381 2.110 5.906
-12.288 0.479 2.982
ATOMIC_POSITIONS angstrom
Sr -0.721 -3.907 2.621
Sr -5.258 -1.880 1.627
Sr -6.378 -1.745 5.811
Sr -3.817 0.793 3.698
Sr -10.914 0.282 4.818
Sr -10.811 -2.321 2.225
Sr -0.825 -1.304 5.213
Sr -7.818 -4.418 3.741
Nb -8.004 -0.649 3.003
Nb -1.853 -0.863 1.535
Nb -3.632 -2.976 4.435
Nb -9.782 -2.762 5.904
N -1.064 0.741 2.285
N -10.571 -4.366 5.153
N -6.253 -0.168 3.607
N -1.879 1.490 5.998
N -5.383 -3.457 3.831
N -0.503 -1.963 0.741
N -2.737 -1.896 3.006
N -8.899 -1.730 4.432
N -9.757 -5.115 1.440
N -7.892 -1.719 1.390
N -11.133 -1.662 6.697
N -3.744 -1.906 6.048

***

No. 3
! GGA-PBE TbSm2Dy3S6, optimized geometry; values from VASP
! Calculated volume in Å³ per atom: 21.68
! Raw formation energy in eV/atom: -2.007
! E_tot in eV per atom: -6.39
! Crystal system: monoclinic
&SYSTEM
  ibrav = 0, nat = 12, ntyp = 4
/
ATOMIC_SPECIES
S 32.06 S.upf
Tb 158.93 Tb.upf
Sm 150.36 Sm.upf
Dy 162.50 Dy.upf
CELL_PARAMETERS angstrom
3.929 0.000 0.000
0.000 7.924 0.266
-1.965 -2.302 8.278
ATOMIC_POSITIONS angstrom
S 0.000 1.712 5.668
S 0.000 5.931 0.240
S 1.965 -0.309 8.304
S 0.000 5.782 5.766
S 1.965 -0.161 2.778
S 1.965 3.910 2.876
Tb 1.965 0.000 0.000
Sm 0.000 1.880 2.856
Sm 1.965 3.742 5.688
Dy 0.000 5.828 2.999
Dy 1.965 3.962 0.133
Dy 1.965 -0.206 5.545

***

No. 4
! GGA-PBE K2OsAu, optimized geometry; values from VASP
! Calculated volume in Å³ per atom: 31.21
! E_tot in eV per atom: -3.31
! Crystal system: orthorhombic
&SYSTEM
  ibrav = 0, nat = 4, ntyp = 3
/
ATOMIC_SPECIES
K 39.10 K.upf
Au 196.97 Au.upf
Os 190.23 Os.upf
CELL_PARAMETERS angstrom
5.958 -0.033 -0.010
1.413 5.788 0.010
-3.215 -3.480 3.613
ATOMIC_POSITIONS angstrom
K 0.206 0.161 0.000
K 3.037 -0.457 1.802
Au 1.494 3.024 1.811
Os 3.105 2.424 0.000

***

No. 5
! GGA-PBE Sm2ZnPd, optimized geometry; values from VASP
! Calculated volume in Å³ per atom: 25.15
! E_tot in eV per atom: -3.95
! Crystal system: trigonal
&SYSTEM
  ibrav = 0, nat = 4, ntyp = 3
/
ATOMIC_SPECIES
Sm 150.36 Sm.upf
Zn 65.41 Zn.upf
Pd 106.42 Pd.upf
CELL_PARAMETERS angstrom
3.377 0.000 0.000
1.688 2.924 0.000
1.688 0.975 10.188
ATOMIC_POSITIONS angstrom
Sm 5.065 2.924 2.694
Sm 1.688 0.975 7.494
Zn 3.377 1.950 5.094
Pd 0.000 0.000 0.000

***

No. 6
! GGA-PBE BaNaGeAs2, optimized geometry; values from VASP
! Calculated volume in Å³ per atom: 31.74
! E_tot in eV per atom: -3.34
! Crystal system: tetragonal
&SYSTEM
  ibrav = 0, nat = 5, ntyp = 4
/
ATOMIC_SPECIES
Ge 72.64 Ge.upf
As 74.92 As.upf
Na 22.99 Na.upf
Ba 137.33 Ba.upf
CELL_PARAMETERS angstrom
-2.520 4.317 -1.560
-3.129 -3.164 -3.700
-3.613 -0.768 3.712
ATOMIC_POSITIONS angstrom
Ge 0.000 0.000 0.000
As -1.806 -0.384 1.856
As -1.260 2.159 -0.780
Na -4.631 0.193 -0.774
Ba -1.565 -1.582 -1.850

***

No. 7
! GGA-PBE BaYSb, optimized geometry; values from VASP
! Calculated volume in Å³ per atom: 44.17
! Raw formation energy in eV/atom: -0.547
! E_tot in eV per atom: -4.72
! Crystal system: trigonal
&SYSTEM
  ibrav = 0, nat = 3, ntyp = 3
/
ATOMIC_SPECIES
Sb 121.76 Sb.upf
Ba 137.33 Ba.upf
Y 88.91 Y.upf
CELL_PARAMETERS angstrom
-3.026 -0.216 -3.363
-1.213 -1.135 4.213
-1.985 7.068 1.332
ATOMIC_POSITIONS angstrom
Sb -3.154 2.088 -0.345
Ba -0.118 0.421 0.079
Y -2.950 3.208 2.449

***

No. 8
! GGA-PBE RbNaAsS3, optimized geometry; values from VASP
! Calculated volume in Å³ per atom: 29.56
! Raw formation energy in eV/atom: -0.727
! E_tot in eV per atom: -3.95
! Crystal system: orthorhombic
&SYSTEM
  ibrav = 0, nat = 12, ntyp = 4
/
ATOMIC_SPECIES
Rb 85.47 Rb.upf
Na 22.99 Na.upf
S 32.06 S.upf
As 74.92 As.upf
CELL_PARAMETERS angstrom
4.344 0.000 0.000
-2.172 7.225 0.000
0.000 0.000 11.301
ATOMIC_POSITIONS angstrom
Rb 2.172 3.499 8.476
Rb 0.000 3.725 2.825
Na 0.000 0.000 0.000
Na 0.000 0.000 5.650
S 2.172 6.580 2.825
S 2.172 1.758 1.042
S 2.172 1.758 4.609
S 0.000 0.644 8.476
S 0.000 5.466 6.692
S 0.000 5.466 10.259
As 0.000 6.737 8.476
As 2.172 0.487 2.825